#one
Here is a relaxed Ho2ZrZn3 crystal from the Alexandria database. Energies are from PBE.

POSCAR file:
```
Ho2ZrZn3
1.0
3.486 0.000 0.000
0.000 3.486 0.000
0.000 0.000 10.388
Ho Zr Zn
2 1 3
Cartesian
0.000 0.000 1.802 Ho
0.000 0.000 8.586 Ho
0.000 0.000 5.194 Zr
1.743 1.743 0.000 Zn
1.743 1.743 3.636 Zn
1.743 1.743 6.752 Zn
```

Summary:
calculated volume: 21.03 Å³/atom

***

#two
Here is a relaxed Ho2ZrZn3 crystal from the Alexandria database. Energies are from PBE.

POSCAR file:
```
Ho2ZrZn3
1.0
4.909 0.000 0.000
-2.454 4.251 0.000
0.000 0.000 6.051
Ho Zr Zn
2 1 3
Cartesian
0.000 2.834 1.046 Ho
2.454 1.417 5.005 Ho
0.000 0.000 3.025 Zr
0.000 0.000 0.000 Zn
0.000 2.834 3.998 Zn
2.454 1.417 2.053 Zn
```

Summary:
calculated volume: 21.04 Å³/atom

***

Relative calculated energies, zero for the most stable structure, unit kJ/mol of atoms: #one 0.0; #two 1.6.

***

#one
Here is a relaxed HoZr3Zn8 crystal from the Alexandria database. Energies are from PBE.

POSCAR file:
```
HoZr3Zn8
1.0
2.646 1.528 8.643
-2.646 1.528 8.643
0.000 -3.055 8.643
Ho Zr Zn
1 3 8
Cartesian
0.000 0.000 0.000 Ho
0.000 0.000 3.274 Zr
0.000 0.000 12.936 Zr
0.000 0.000 16.116 Zr
0.000 -1.519 5.899 Zn
-1.316 0.760 5.899 Zn
-1.321 -0.763 10.279 Zn
0.000 0.000 8.070 Zn
1.316 0.760 5.899 Zn
1.321 -0.763 10.279 Zn
0.000 1.525 10.279 Zn
0.000 0.000 21.056 Zn
```

Summary:
calculated volume: 17.47 Å³/atom

***

#two
Here is a relaxed HoZr3Zn8 crystal from the Alexandria database. Energies are from PBE.

POSCAR file:
```
HoZr3Zn8
1.0
5.329 0.000 0.000
-2.665 4.615 0.000
0.000 0.000 8.513
Ho Zr Zn
1 3 8
Cartesian
0.000 0.000 0.000 Ho
0.000 0.000 3.215 Zr
2.665 1.538 4.251 Zr
2.665 1.538 7.310 Zr
0.000 1.503 5.794 Zn
-1.363 3.864 5.794 Zn
0.000 3.077 3.684 Zn
0.000 3.077 7.933 Zn
2.665 0.054 1.600 Zn
1.379 2.281 1.600 Zn
1.363 3.864 5.794 Zn
3.950 2.281 1.600 Zn
```

Summary:
calculated volume: 17.45 Å³/atom

***

Relative calculated energies, zero for the most stable structure, unit kJ/mol of atoms: #one 0.0; #two 1.0.

***

#one
Here is a relaxed In2I crystal from the Alexandria database. Energies are from PBE.

POSCAR file:
```
In2I
1.0
0.000 4.668 4.668
4.668 0.000 4.668
4.668 4.668 0.000
In I
4 2
Cartesian
0.000 0.000 0.000 In
2.334 2.334 0.000 In
2.334 0.000 2.334 In
0.000 2.334 2.334 In
3.501 3.501 3.501 I
5.835 5.835 5.835 I
```

Summary:
calculated volume: 33.90 Å³/atom

***

#two
Here is a relaxed In2I crystal from the Alexandria database. Energies are from PBE.

POSCAR file:
```
In2I
1.0
2.920 -2.922 0.000
2.920 2.922 0.000
-2.894 0.000 5.778
In I
2 1
Cartesian
0.015 0.000 2.185 In
2.931 0.000 3.593 In
2.920 0.000 0.000 I
```

Summary:
calculated volume: 32.87 Å³/atom

***

Relative calculated energies, zero for the most stable structure, unit kJ/mol of atoms: #one 5.1; #two 0.0.